(1)
## SrNpHg (PBE-GGA)

Data for crystalline SrNpHg at its relaxed geometry.

As for the space-group type: F-43m, No. 216. The relative energy among the computed polymorphs comes out at 0.0 meV/atom.

Cell: 5.354 5.354 5.354 Å, 60.00 60.00 60.00°
Sites, in units of the cell vectors:
Sr1 0.000 0.000 0.000
Np1 0.500 0.500 0.500
Hg1 0.750 0.750 0.750

***

(2)
## PmInMo (PBE-GGA)

Data for crystalline PmInMo at its relaxed geometry.

As for the space-group type: F-43m, No. 216. The value obtained for the total energy is -4.975 eV per atom.

Cell: 5.013 5.013 5.013 Å, 60.00 60.00 60.00°
Sites, in units of the cell vectors:
Pm1 0.000 0.000 0.000
In1 0.750 0.750 0.750
Mo1 0.250 0.250 0.250

***

(3)
## RbCuAg (PBE-GGA)

Data for crystalline RbCuAg at its relaxed geometry.

As for the space-group type: F-43m, No. 216. The relative energy among the computed polymorphs comes out at 0.0 meV/atom.

Cell: 5.086 5.086 5.086 Å, 60.00 60.00 60.00°
Sites, in units of the cell vectors:
Rb1 0.000 0.000 0.000
Cu1 0.750 0.750 0.750
Ag1 0.500 0.500 0.500